SiSbRuI2: optimized geometry, GGA-PBE.

Results
DFT total energy in eV/atom: -3.135
Raw formation energy in eV per atom: 1.25
Excess energy over the best structure of this formula in the dataset in eV per atom: 0.420
Magnetic moment in μB per formula unit: 3.1
DOS at the Fermi energy in states/eV/atom: 1.162
Volume in A^3/atom: 31.2

abc: 5.3699 5.3699 5.4031
angles: 90.00 90.00 90.00
Closest atoms and distances in Å follow each position.
Space group P4/mmm (No. 123)
One atom of each set of equivalent atoms:
Si 0.0000 0.0000 0.0000 x1  4 I 2.68, 2 Sb 2.70
Sb 0.0000 0.0000 0.5000 x1  2 Si 2.70
Ru 0.5000 0.5000 0.5000 x1  4 Sb 3.80, 8 I 3.81
I 0.0000 0.5000 0.0000 x2  2 Si 2.68